# 1
## LaTlAs3 (GGA-PBE)

Data for a geometry-optimized LaTlAs3 structure.

a = 5.258 Å, b = 5.258 Å, c = 5.258 Å
α = 90.00°, β = 90.00°, γ = 90.00°
Sites, in units of the cell vectors:
La 0.000 0.000 0.000
Tl 0.500 0.500 0.500
As 0.000 0.500 0.500
As 0.500 0.000 0.500
As 0.500 0.500 0.000

Properties
Space group: Pm-3m (221)
Energy relative to the elements (eV/atom): 0.24
Final energy (eV/atom): -4.013
ΔE to the lowest computed polymorph (eV per atom): 0.0000

=====

# 2
## LaTlAs (GGA-PBE)

Data for a geometry-optimized LaTlAs structure.

a = 5.123 Å, b = 5.123 Å, c = 5.123 Å
α = 60.00°, β = 60.00°, γ = 60.00°
Sites, in units of the cell vectors:
La 0.000 0.000 0.000
Tl 0.500 0.500 0.500
As 0.250 0.250 0.250

Properties
Space group: F-43m (216)
Energy relative to the elements (eV/atom): -0.56
Final energy (eV/atom): -4.540
ΔE to the lowest computed polymorph (eV per atom): 0.2000

=====

# 3
## La3TlAs (GGA-PBE)

Data for a geometry-optimized La3TlAs structure.

a = 5.716 Å, b = 5.716 Å, c = 5.716 Å
α = 90.00°, β = 90.00°, γ = 90.00°
Sites, in units of the cell vectors:
La 0.000 0.000 0.500
La 0.000 0.500 0.000
La 0.500 0.000 0.000
Tl 0.500 0.500 0.500
As 0.000 0.000 0.000

Properties
Space group: Pm-3m (221)
Energy relative to the elements (eV/atom): -0.56
Final energy (eV/atom): -4.924
ΔE to the lowest computed polymorph (eV per atom): 0.1793

=====

# 4
## La3TlAs (GGA-PBE)

Data for a geometry-optimized La3TlAs structure.

a = 4.785 Å, b = 7.263 Å, c = 9.518 Å
α = 90.00°, β = 90.00°, γ = 90.00°
Sites, in units of the cell vectors:
La 0.250 0.010 0.166
La 0.250 0.250 0.574
La 0.250 0.490 0.166
La 0.750 0.510 0.834
La 0.750 0.750 0.426
La 0.750 0.990 0.834
Tl 0.250 0.750 0.651
Tl 0.750 0.250 0.349
As 0.250 0.250 0.895
As 0.750 0.750 0.105

Properties
Space group: Pmmn (59)
Energy relative to the elements (eV/atom): -0.74
Final energy (eV/atom): -5.103
ΔE to the lowest computed polymorph (eV per atom): 0.0000